Entry 1:
Computed, not measured: a geometry-optimized ZrTaOs structure at the PBEsol level of DFT.

Cell and atoms, written as CIF:
```
data_ZrTaOs
_symmetry_space_group_name_H-M 'F -4 3 m'
_symmetry_Int_Tables_number 216
_symmetry_space_group_name_Hall 'F -4 2 3'
_cell_length_a 6.248
_cell_length_b 6.248
_cell_length_c 6.248
_cell_angle_alpha 90.00
_cell_angle_beta 90.00
_cell_angle_gamma 90.00
loop_
_atom_site_label
_atom_site_fract_x
_atom_site_fract_y
_atom_site_fract_z
Zr1 0.000 0.000 0.000
Ta1 0.000 0.000 0.500
Os1 0.250 0.250 0.250
```

* density of states at the Fermi level: 11.0 states/eV/cell
* E above lowest polymorph: 0.348 eV/atom
* formation enthalpy at 0 K: 0.0175 eV/atom



Entry 2:
Computed, not measured: a geometry-optimized SiAgBr2 structure at the PBEsol level of DFT.

Cell and atoms, written as CIF:
```
data_SiAgBr2
_symmetry_space_group_name_H-M 'F m -3 m'
_symmetry_Int_Tables_number 225
_symmetry_space_group_name_Hall '-F 4 2 3'
_cell_length_a 6.959
_cell_length_b 6.959
_cell_length_c 6.959
_cell_angle_alpha 90.00
_cell_angle_beta 90.00
_cell_angle_gamma 90.00
loop_
_atom_site_label
_atom_site_fract_x
_atom_site_fract_y
_atom_site_fract_z
Si1 0.000 0.000 0.000
Ag1 0.000 0.000 0.500
Br1 0.250 0.250 0.250
```

* density of states at the Fermi level: 4.9 states/eV/cell
* E above lowest polymorph: 0.245 eV/atom



Entry 3:
Computed, not measured: a geometry-optimized Li2LaZr structure at the PBEsol level of DFT.

Cell and atoms, written as CIF:
```
data_Li2LaZr
_symmetry_space_group_name_H-M 'P 4/m m m'
_symmetry_Int_Tables_number 123
_symmetry_space_group_name_Hall '-P 4 2'
_cell_length_a 4.464
_cell_length_b 4.464
_cell_length_c 4.646
_cell_angle_alpha 90.00
_cell_angle_beta 90.00
_cell_angle_gamma 90.00
loop_
_atom_site_label
_atom_site_fract_x
_atom_site_fract_y
_atom_site_fract_z
Li1 0.000 0.500 0.000
La1 0.000 0.000 0.500
Zr1 0.500 0.500 0.500
```

* density of states at the Fermi level: 4.8 states/eV/cell
* E above lowest polymorph: 0.094 eV/atom
* formation enthalpy at 0 K: 0.3787 eV/atom



Copy entry 2 word for word.
Computed, not measured: a geometry-optimized SiAgBr2 structure at the PBEsol level of DFT.

Cell and atoms, written as CIF:
```
data_SiAgBr2
_symmetry_space_group_name_H-M 'F m -3 m'
_symmetry_Int_Tables_number 225
_symmetry_space_group_name_Hall '-F 4 2 3'
_cell_length_a 6.959
_cell_length_b 6.959
_cell_length_c 6.959
_cell_angle_alpha 90.00
_cell_angle_beta 90.00
_cell_angle_gamma 90.00
loop_
_atom_site_label
_atom_site_fract_x
_atom_site_fract_y
_atom_site_fract_z
Si1 0.000 0.000 0.000
Ag1 0.000 0.000 0.500
Br1 0.250 0.250 0.250
```

* density of states at the Fermi level: 4.9 states/eV/cell
* E above lowest polymorph: 0.245 eV/atom



> The highest density of states at the Fermi level belongs to which entry?

ZrTaOs



> Look up the E above lowest polymorph of the first one.

0.348 eV/atom